(1)
Entry from Alexandria: a relaxed structure of PaBe17Rh (PBE).

Properties
Formation energy from the elements in meV/atom: -58

Lattice parameters (Å, degrees): 5.700 5.700 5.700 83.27 83.27 83.27
Atoms (fractional coordinates):
Be  0.100  0.100  0.100
Be  0.991  0.508  0.991
Be  0.707  0.287  0.010
Be  0.652  0.162  0.652
Be  0.872  0.340  0.340
Be  0.906  0.906  0.906
Be  0.287  0.010  0.707
Be  0.991  0.991  0.508
Be  0.652  0.652  0.162
Be  0.707  0.010  0.287
Be  0.340  0.340  0.872
Be  0.162  0.652  0.652
Be  0.010  0.707  0.287
Be  0.287  0.707  0.010
Be  0.010  0.287  0.707
Be  0.508  0.991  0.991
Be  0.340  0.872  0.340
Pa  0.656  0.656  0.656
Rh  0.324  0.324  0.324

***

(2)
Entry from Alexandria: a relaxed structure of CaRhPb2 (PBE).

Properties
Formation energy from the elements in meV/atom: 19

Lattice parameters (Å, degrees): 4.510 4.510 10.866 78.02 78.02 90.00
Atoms (fractional coordinates):
Pb  0.651  0.125  0.250
Pb  0.875  0.901  0.750
Pb  0.099  0.625  0.250
Pb  0.375  0.349  0.750
Rh  0.750  0.250  0.500
Rh  0.000  0.000  0.000
Ca  0.500  0.500  0.000
Ca  0.250  0.750  0.500

***

(3)
Entry from Alexandria: a relaxed structure of UCrFe2 (PBE).

Properties
Formation energy from the elements in meV/atom: 373

Lattice parameters (Å, degrees): 2.691 2.691 8.998 81.40 81.40 60.00
Site moments in Bohr magnetons follow the coordinates.
Atoms (fractional coordinates):
Fe  0.261  0.261  0.216  1.81
Fe  0.739  0.739  0.784  1.81
Cr  0.000  0.000  0.000  -0.82
U  0.500  0.500  0.500  0.15

***

(4)
Entry from Alexandria: a relaxed structure of BaGa2SbS6 (PBE).

Properties
Formation energy from raw total energies in eV per formula unit: -7.45

Lattice parameters (Å, degrees): 6.964 9.844 9.844 82.77 63.62 63.62
Atoms (fractional coordinates):
S  0.072  0.042  0.819
S  0.676  0.082  0.569
S  0.228  0.626  0.693
S  0.824  0.431  0.918
S  0.176  0.569  0.082
S  0.572  0.819  0.042
S  0.428  0.181  0.958
S  0.728  0.693  0.626
S  0.928  0.958  0.181
S  0.324  0.918  0.431
S  0.772  0.374  0.307
S  0.272  0.307  0.374
Ga  0.342  0.826  0.655
Ga  0.658  0.174  0.345
Ga  0.842  0.655  0.826
Ga  0.158  0.345  0.174
Ba  0.750  0.349  0.651
Ba  0.250  0.651  0.349
Sb  0.750  0.782  0.218
Sb  0.250  0.218  0.782

***

(5)
Entry from Alexandria: a relaxed structure of Hf4Pb2C (PBE).

Properties
Formation energy from the elements in meV/atom: -292

Lattice parameters (Å, degrees): 3.412 7.826 11.058 90.00 90.00 90.00
Atoms (fractional coordinates):
Hf  0.500  0.330  0.933
Hf  0.000  0.873  0.321
Hf  0.000  0.627  0.821
Hf  0.000  0.373  0.179
Hf  0.500  0.830  0.567
Hf  0.500  0.670  0.067
Hf  0.000  0.127  0.679
Hf  0.500  0.170  0.433
Pb  0.500  0.442  0.641
Pb  0.500  0.558  0.359
Pb  0.500  0.942  0.859
Pb  0.500  0.058  0.141
C  0.000  0.000  0.500
C  0.000  0.500  0.000

***

(6)
Entry from Alexandria: a relaxed structure of LaSi3Pd3 (PBE).

Properties
Formation energy from raw total energies in eV per formula unit: -3.53
Energy above the lowest structure with this stoichiometry in kcal/mol of atoms: 0.75

Lattice parameters (Å, degrees): 6.623 6.623 6.623 90.00 90.00 90.00
Atoms (fractional coordinates):
Pd  0.750  0.000  0.500
Pd  0.500  0.250  0.000
Pd  0.000  0.500  0.750
Pd  0.000  0.500  0.250
Pd  0.250  0.000  0.500
Pd  0.500  0.750  0.000
Si  0.250  0.500  0.000
Si  0.500  0.000  0.250
Si  0.750  0.500  0.000
Si  0.000  0.250  0.500
Si  0.500  0.000  0.750
Si  0.000  0.750  0.500
La  0.500  0.500  0.500
La  0.000  0.000  0.000

***

Calculated values (Å³ per cell) of volume for the records, taken in order: 181.7 211.3 55.6 539.5 295.2 290.5.
Calculated values (eV per atom) of electronic total energy for the records, taken in order: -4.279 -4.174 -9.086 -4.431 -8.357 -5.758.